# PBE LaSiF2, relaxed
data_LaSiF2
_cell_length_a 6.517
_cell_length_b 6.517
_cell_length_c 6.517
_cell_angle_alpha 90.00
_cell_angle_beta 90.00
_cell_angle_gamma 90.00
_symmetry_space_group_name_H-M 'F m -3 m'
_symmetry_Int_Tables_number 225
_symmetry_space_group_name_Hall '-F 4 2 3'
loop_
_atom_site_label
_atom_site_fract_x
_atom_site_fract_y
_atom_site_fract_z
_atom_site_occupancy
La1 0.000 0.000 0.000 1
Si1 0.000 0.000 0.500 1
F1 0.250 0.250 0.250 1
# M_tot   11.334 μB per cell
# DFT total energy   -83.47 eV for the cell shown
# V   69.2 Å³/f.u.
# ΔE_f (raw)   -6.77 eV per formula unit

---

# PBE LaSi2SnF, relaxed
data_LaSi2SnF
_cell_length_a 5.149
_cell_length_b 5.149
_cell_length_c 4.484
_cell_angle_alpha 90.00
_cell_angle_beta 90.00
_cell_angle_gamma 90.00
_symmetry_space_group_name_H-M 'P 4/m m m'
_symmetry_Int_Tables_number 123
_symmetry_space_group_name_Hall '-P 4 2'
loop_
_atom_site_label
_atom_site_fract_x
_atom_site_fract_y
_atom_site_fract_z
_atom_site_occupancy
La1 0.000 0.000 0.000 1
Si1 0.000 0.500 0.500 1
Sn1 0.500 0.500 0.500 1
F1 0.500 0.500 0.000 1
# M_tot   0.000 μB per cell
# DFT total energy   -23.74 eV for the cell shown
# V   118.9 Å³/f.u.
# ΔE_f (raw)   -2.09 eV per formula unit

---

# PBE SrLa2SiF, relaxed
data_SrLa2SiF
_cell_length_a 6.147
_cell_length_b 6.147
_cell_length_c 4.352
_cell_angle_alpha 90.00
_cell_angle_beta 90.00
_cell_angle_gamma 90.00
_symmetry_space_group_name_H-M 'P 4/m m m'
_symmetry_Int_Tables_number 123
_symmetry_space_group_name_Hall '-P 4 2'
loop_
_atom_site_label
_atom_site_fract_x
_atom_site_fract_y
_atom_site_fract_z
_atom_site_occupancy
Sr1 0.000 0.000 0.000 1
La1 0.000 0.500 0.000 1
Si1 0.500 0.500 0.500 1
F1 0.000 0.000 0.500 1
# M_tot   0.000 μB per cell
# DFT total energy   -19.55 eV for the cell shown
# V   164.5 Å³/f.u.
# ΔE_f (raw)   -0.71 eV per formula unit

---

# PBE LaTlSiF2, relaxed
data_LaTlSiF2
_cell_length_a 4.535
_cell_length_b 4.535
_cell_length_c 6.531
_cell_angle_alpha 90.00
_cell_angle_beta 90.00
_cell_angle_gamma 90.00
_symmetry_space_group_name_H-M 'P 4/m m m'
_symmetry_Int_Tables_number 123
_symmetry_space_group_name_Hall '-P 4 2'
loop_
_atom_site_label
_atom_site_fract_x
_atom_site_fract_y
_atom_site_fract_z
_atom_site_occupancy
La1 0.000 0.000 0.000 1
Tl1 0.500 0.500 0.500 1
Si1 0.000 0.000 0.500 1
F1 0.000 0.500 0.000 1
# M_tot   0.000 μB per cell
# DFT total energy   -25.98 eV for the cell shown
# V   134.3 Å³/f.u.
# ΔE_f (raw)   -9.52 eV per formula unit

---

> Which of these has the highest M_tot?

LaSiF2